# 1
Density functional theory data (GGA-PBE) for La2Sm3Tm5 after structural relaxation.

POSCAR file:
```
La2Sm3Tm5
1.0
8.375 1.567 -3.899
0.336 8.462 -3.992
-1.716 -1.843 10.889
La Sm Tm
4 6 10
Cartesian
5.159 0.076 5.048 La
1.836 8.110 -2.050 La
2.986 5.463 3.413 La
4.008 2.723 -0.416 La
0.598 6.872 5.620 Sm
6.396 1.314 -2.622 Sm
5.775 4.773 -1.966 Sm
1.219 3.413 4.964 Sm
0.102 6.099 -0.415 Sm
6.893 2.087 3.412 Sm
2.363 4.745 -2.703 Tm
4.631 3.441 5.701 Tm
-0.463 5.597 2.828 Tm
3.538 2.127 2.825 Tm
7.457 2.589 0.169 Tm
3.456 6.058 0.172 Tm
6.337 5.306 2.046 Tm
0.657 2.880 0.952 Tm
1.715 0.121 6.171 Tm
5.280 8.064 -3.173 Tm
```

=====

# 2
Density functional theory data (GGA-PBE) for KSiN2 after structural relaxation.

The calculation puts the uncorrected formation energy at 0.87 eV/f.u.

POSCAR file:
```
KSiN2
1.0
1.719 0.000 6.698
-0.859 1.488 6.698
-0.859 -1.488 6.698
K Si N
1 1 2
Cartesian
0.000 0.000 0.000 K
0.000 0.000 10.047 Si
0.000 0.000 17.643 N
0.000 0.000 2.450 N
```

=====

# 3
Density functional theory data (GGA-PBE) for KAl2F8 after structural relaxation.

The calculation puts the uncorrected formation energy at -29.96 eV/f.u.

POSCAR file:
```
KAl2F8
1.0
-2.916 -3.065 2.046
3.621 -2.867 0.866
0.951 2.941 5.760
K Al F
1 2 8
Cartesian
0.828 -1.496 4.336 K
-1.458 -1.533 1.023 Al
1.811 -1.434 0.433 Al
0.693 -3.946 3.175 F
-0.496 -0.580 6.522 F
1.317 -2.016 6.955 F
-1.120 -2.510 2.742 F
2.152 -2.411 2.151 F
2.777 -0.482 5.931 F
0.340 -0.976 1.717 F
0.964 0.954 5.498 F
```

=====

# 4
Density functional theory data (GGA-PBE) for NaCdSbO3 after structural relaxation.

The calculation puts the uncorrected formation energy at -6.88 eV/f.u.

POSCAR file:
```
NaCdSbO3
1.0
3.437 0.000 0.000
0.000 6.322 0.457
0.000 -1.235 9.543
Na Cd Sb O
2 2 2 6
Cartesian
0.859 0.604 1.777 Na
2.578 4.483 8.223 Na
0.859 3.676 1.426 Cd
2.578 1.411 8.574 Cd
0.859 0.699 5.575 Sb
2.578 4.389 4.425 Sb
2.578 5.065 2.547 O
0.859 0.022 7.452 O
0.859 4.891 5.587 O
2.578 0.196 4.412 O
2.578 2.156 1.239 O
0.859 2.932 8.761 O
```

=====

# 5
Density functional theory data (GGA-PBE) for CrReRu2 after structural relaxation.

Its energy above the most stable polymorph in this dataset is 297 meV/atom.

POSCAR file:
```
CrReRu2
1.0
-2.550 -0.752 0.008
1.682 -1.777 -1.039
1.080 -3.577 7.868
Cr Re Ru
1 1 2
Cartesian
-0.164 -2.159 1.452 Cr
0.376 -3.947 5.385 Re
0.014 -0.046 0.101 Ru
0.526 -1.743 3.833 Ru
```

=====

# 6
Density functional theory data (GGA-PBE) for Nd6Sb2SeS3 after structural relaxation.

The calculation puts the uncorrected formation energy at -20.28 eV/f.u.

POSCAR file:
```
Nd6Sb2SeS3
1.0
4.241 0.000 0.000
0.000 8.533 0.263
-2.120 -2.507 8.953
Nd Sb Se S
6 2 1 3
Cartesian
0.000 6.290 6.157 Nd
2.120 4.307 3.026 Nd
2.120 -0.264 3.059 Nd
2.120 -0.262 8.915 Nd
0.000 6.288 0.301 Nd
0.000 1.719 6.190 Nd
2.120 4.013 6.154 Sb
0.000 2.012 3.062 Sb
2.120 0.000 0.000 Se
2.120 4.266 0.131 S
2.120 -0.272 5.991 S
0.000 6.297 3.225 S
```

=====

no.,total DFT energy (no corrections) (eV/atom),density of states at the Fermi level (states/eV/f.u.)
1,-4.4537,15.19
2,-5.5750,1.51
3,-4.8650,4.41
4,-4.6849,0.00
5,-9.7913,6.35
6,-6.0832,5.05